# Co5Ag3I12 PBE relaxed
# Crystal system: cubic
# DOS at the Fermi energy: 0.9834 states/eV/atom
data_Co5Ag3I12
_chemical_formula_sum 'Co40 Ag24 I96'
_cell_length_a 17.1776
_cell_length_b 17.1776
_cell_length_c 17.1776
_cell_angle_alpha 90.00
_cell_angle_beta 90.00
_cell_angle_gamma 90.00
_symmetry_space_group_name_H-M 'I a -3 d'
_symmetry_Int_Tables_number 230
_symmetry_space_group_name_Hall '-I 4bd 2c 3'
loop_
_atom_site_label
_atom_site_type_symbol
_atom_site_fract_x
_atom_site_fract_y
_atom_site_fract_z
Co1 Co 0.0000 0.0000 0.0000
Co2 Co 0.0000 0.2500 0.3750
Ag1 Ag 0.0000 0.2500 0.1250
I1 I 0.0285 0.0546 0.6499

# CoAg2I PBE relaxed
# Crystal system: cubic
# DOS at the Fermi energy: 0.5578 states/eV/atom
data_CoAg2I
_chemical_formula_sum 'Co4 Ag8 I4'
_cell_length_a 6.9413
_cell_length_b 6.9413
_cell_length_c 6.9413
_cell_angle_alpha 90.00
_cell_angle_beta 90.00
_cell_angle_gamma 90.00
_symmetry_space_group_name_H-M 'F m -3 m'
_symmetry_Int_Tables_number 225
_symmetry_space_group_name_Hall '-F 4 2 3'
loop_
_atom_site_label
_atom_site_type_symbol
_atom_site_fract_x
_atom_site_fract_y
_atom_site_fract_z
Co1 Co 0.0000 0.0000 0.0000
Ag1 Ag 0.2500 0.2500 0.2500
I1 I 0.0000 0.0000 0.5000

# Co3AgI PBE relaxed
# Crystal system: cubic
# DOS at the Fermi energy: 3.7156 states/eV/atom
data_Co3AgI
_chemical_formula_sum 'Co3 Ag1 I1'
_cell_length_a 4.7948
_cell_length_b 4.7948
_cell_length_c 4.7948
_cell_angle_alpha 90.00
_cell_angle_beta 90.00
_cell_angle_gamma 90.00
_symmetry_space_group_name_H-M 'P m -3 m'
_symmetry_Int_Tables_number 221
_symmetry_space_group_name_Hall '-P 4 2 3'
loop_
_atom_site_label
_atom_site_type_symbol
_atom_site_fract_x
_atom_site_fract_y
_atom_site_fract_z
Co1 Co 0.0000 0.0000 0.5000
Ag1 Ag 0.0000 0.0000 0.0000
I1 I 0.5000 0.5000 0.5000

# CoAg3I PBE relaxed
# Crystal system: cubic
# DOS at the Fermi energy: 1.8077 states/eV/atom
data_CoAg3I
_chemical_formula_sum 'Co1 Ag3 I1'
_cell_length_a 4.9470
_cell_length_b 4.9470
_cell_length_c 4.9470
_cell_angle_alpha 90.00
_cell_angle_beta 90.00
_cell_angle_gamma 90.00
_symmetry_space_group_name_H-M 'P m -3 m'
_symmetry_Int_Tables_number 221
_symmetry_space_group_name_Hall '-P 4 2 3'
loop_
_atom_site_label
_atom_site_type_symbol
_atom_site_fract_x
_atom_site_fract_y
_atom_site_fract_z
Co1 Co 0.0000 0.0000 0.0000
Ag1 Ag 0.0000 0.0000 0.5000
I1 I 0.5000 0.5000 0.5000

The evaluated VASP energy for the records listed, in turn: -3.0596; -2.7894; -3.5860; -2.6416 eV per atom.
The evaluated density for the records listed, in turn: 5.612; 7.975; 6.200; 6.987 Mg/m³.